A plane-wave DFT calculation with PBE-GGA was carried out for BeSiSn2 after structural relaxation.

The structure in CIF format:
```
data_BeSiSn2
_cell_length_a 6.858
_cell_length_b 6.858
_cell_length_c 6.858
_cell_angle_alpha 90.00
_cell_angle_beta 90.00
_cell_angle_gamma 90.00
_space_group_name_H-M_alt 'F m -3 m'
_space_group_IT_number 225
_space_group_name_Hall '-F 4 2 3'
loop_
_atom_site_label
_atom_site_fract_x
_atom_site_fract_y
_atom_site_fract_z
Be1 0.000 0.000 0.000
Si1 0.000 0.000 0.500
Sn1 0.250 0.250 0.250
```

Calculated values
The total magnetization comes out at 0.00 μB per cell. The uncorrected formation energy is 0.59 eV per atom.

=====

A plane-wave DFT calculation with PBE-GGA was carried out for As2PbAu after structural relaxation.

The structure in CIF format:
```
data_As2PbAu
_cell_length_a 3.718
_cell_length_b 3.718
_cell_length_c 6.629
_cell_angle_alpha 90.00
_cell_angle_beta 90.00
_cell_angle_gamma 90.00
_space_group_name_H-M_alt 'P 4/m m m'
_space_group_IT_number 123
_space_group_name_Hall '-P 4 2'
loop_
_atom_site_label
_atom_site_fract_x
_atom_site_fract_y
_atom_site_fract_z
As1 0.000 0.000 0.187
Pb1 0.500 0.500 0.500
Au1 0.500 0.500 0.000
```

Calculated values
The total magnetization comes out at 0.00 μB per cell. The calculated total energy comes out at -3.88 eV/atom.

=====

A plane-wave DFT calculation with PBE-GGA was carried out for TiAlCr2P after structural relaxation.

The structure in CIF format:
```
data_TiAlCr2P
_cell_length_a 4.504
_cell_length_b 4.504
_cell_length_c 4.773
_cell_angle_alpha 90.00
_cell_angle_beta 90.00
_cell_angle_gamma 90.00
_space_group_name_H-M_alt 'P 4/m m m'
_space_group_IT_number 123
_space_group_name_Hall '-P 4 2'
loop_
_atom_site_label
_atom_site_fract_x
_atom_site_fract_y
_atom_site_fract_z
Ti1 0.000 0.000 0.000
Al1 0.000 0.000 0.500
Cr1 0.000 0.500 0.500
P1 0.500 0.500 0.000
```

Calculated values
The total magnetization comes out at 6.42 μB per cell. The calculated total energy comes out at -6.14 eV/atom.

=====

A plane-wave DFT calculation with PBE-GGA was carried out for LiNi2W after structural relaxation.

The structure in CIF format:
```
data_LiNi2W
_cell_length_a 8.981
_cell_length_b 2.589
_cell_length_c 4.471
_cell_angle_alpha 90.00
_cell_angle_beta 102.10
_cell_angle_gamma 90.00
_space_group_name_H-M_alt 'C 1 m 1'
_space_group_IT_number 8
loop_
_space_group_symop_operation_xyz
'x,y,z'
'x,-y,z'
'x+1/2,y+1/2,z'
'x+1/2,-y+1/2,z'
loop_
_atom_site_label
_atom_site_fract_x
_atom_site_fract_y
_atom_site_fract_z
Li1 0.000 0.000 0.000
Ni1 0.029 0.500 0.520
Ni2 0.247 0.000 0.845
W1 0.280 0.500 0.356
```

Calculated values
The total magnetization comes out at 0.00 μB per cell. The calculated total energy comes out at -6.54 eV/atom.

=====

A plane-wave DFT calculation with PBE-GGA was carried out for La3EuOs after structural relaxation.

The structure in CIF format:
```
data_La3EuOs
_cell_length_a 5.735
_cell_length_b 5.735
_cell_length_c 5.735
_cell_angle_alpha 90.00
_cell_angle_beta 90.00
_cell_angle_gamma 90.00
_space_group_name_H-M_alt 'P m -3 m'
_space_group_IT_number 221
_space_group_name_Hall '-P 4 2 3'
loop_
_atom_site_label
_atom_site_fract_x
_atom_site_fract_y
_atom_site_fract_z
La1 0.000 0.000 0.500
Eu1 0.500 0.500 0.500
Os1 0.000 0.000 0.000
```

Calculated values
The total magnetization comes out at 7.31 μB per cell. The calculated total energy comes out at -7.33 eV/atom.

=====

A plane-wave DFT calculation with PBE-GGA was carried out for Hg2MoAsS after structural relaxation.

The structure in CIF format:
```
data_Hg2MoAsS
_cell_length_a 5.448
_cell_length_b 5.448
_cell_length_c 4.746
_cell_angle_alpha 90.00
_cell_angle_beta 90.00
_cell_angle_gamma 90.00
_space_group_name_H-M_alt 'P 4/m m m'
_space_group_IT_number 123
_space_group_name_Hall '-P 4 2'
loop_
_atom_site_label
_atom_site_fract_x
_atom_site_fract_y
_atom_site_fract_z
Hg1 0.000 0.500 0.000
Mo1 0.000 0.000 0.000
As1 0.000 0.000 0.500
S1 0.500 0.500 0.500
```

Calculated values
The total magnetization comes out at 1.06 μB per cell. The uncorrected formation energy is 0.87 eV per atom.

=====

A plane-wave DFT calculation with PBE-GGA was carried out for SrTa2Mo after structural relaxation.

The structure in CIF format:
```
data_SrTa2Mo
_cell_length_a 6.855
_cell_length_b 6.855
_cell_length_c 6.855
_cell_angle_alpha 90.00
_cell_angle_beta 90.00
_cell_angle_gamma 90.00
_space_group_name_H-M_alt 'F m -3 m'
_space_group_IT_number 225
_space_group_name_Hall '-F 4 2 3'
loop_
_atom_site_label
_atom_site_fract_x
_atom_site_fract_y
_atom_site_fract_z
Sr1 0.000 0.000 0.000
Ta1 0.250 0.250 0.250
Mo1 0.000 0.000 0.500
```

Calculated values
The total magnetization comes out at 0.00 μB per cell. The calculated total energy comes out at -8.07 eV/atom.

=====

A plane-wave DFT calculation with PBE-GGA was carried out for YMoPt after structural relaxation.

The structure in CIF format:
```
data_YMoPt
_cell_length_a 6.473
_cell_length_b 6.473
_cell_length_c 6.473
_cell_angle_alpha 90.00
_cell_angle_beta 90.00
_cell_angle_gamma 90.00
_space_group_name_H-M_alt 'F -4 3 m'
_space_group_IT_number 216
_space_group_name_Hall 'F -4 2 3'
loop_
_atom_site_label
_atom_site_fract_x
_atom_site_fract_y
_atom_site_fract_z
Y1 0.000 0.000 0.000
Mo1 0.000 0.000 0.500
Pt1 0.250 0.250 0.750
```

Calculated values
The total magnetization comes out at 2.76 μB per cell. The calculated total energy comes out at -7.67 eV/atom.

=====

A plane-wave DFT calculation with PBE-GGA was carried out for Rb2Tl7Hg after structural relaxation.

The structure in CIF format:
```
data_Rb2Tl7Hg
_cell_length_a 5.412
_cell_length_b 5.412
_cell_length_c 12.652
_cell_angle_alpha 90.00
_cell_angle_beta 90.00
_cell_angle_gamma 90.00
_space_group_name_H-M_alt 'P -4 m 2'
_space_group_IT_number 115
loop_
_space_group_symop_operation_xyz
'x,y,z'
'y,-x,-z'
'-x,-y,z'
'-y,x,-z'
'-x,y,z'
'-y,-x,-z'
'x,-y,z'
'y,x,-z'
loop_
_atom_site_label
_atom_site_fract_x
_atom_site_fract_y
_atom_site_fract_z
Rb1 0.000 0.500 0.246
Tl1 0.000 0.000 0.000
Tl2 0.000 0.000 0.500
Tl3 0.000 0.500 0.632
Tl4 0.000 0.500 0.876
Tl5 0.500 0.500 0.500
Hg1 0.500 0.500 0.000
```

Calculated values
The total magnetization comes out at 0.00 μB per cell. The calculated total energy comes out at -1.95 eV/atom.

=====

A plane-wave DFT calculation with PBE-GGA was carried out for La6PrHo2Er after structural relaxation.

The structure in CIF format:
```
data_La6PrHo2Er
_cell_length_a 11.379
_cell_length_b 7.239
_cell_length_c 8.972
_cell_angle_alpha 90.00
_cell_angle_beta 104.07
_cell_angle_gamma 90.00
_space_group_name_H-M_alt 'C 1 2/m 1'
_space_group_IT_number 12
loop_
_space_group_symop_operation_xyz
'x,y,z'
'-x,-y,-z'
'-x,y,-z'
'x,-y,z'
'x+1/2,y+1/2,z'
'-x+1/2,-y+1/2,-z'
'-x+1/2,y+1/2,-z'
'x+1/2,-y+1/2,z'
loop_
_atom_site_label
_atom_site_fract_x
_atom_site_fract_y
_atom_site_fract_z
La1 0.136 0.000 0.435
La2 0.178 0.279 0.798
Pr1 0.000 0.000 0.000
Ho1 0.090 0.500 0.167
Er1 0.000 0.500 0.500
```

Calculated values
The total magnetization comes out at 0.00 μB per cell. The calculated total energy comes out at -4.62 eV/atom.

=====

A plane-wave DFT calculation with PBE-GGA was carried out for LiAs2AuSe after structural relaxation.

The structure in CIF format:
```
data_LiAs2AuSe
_cell_length_a 5.034
_cell_length_b 5.034
_cell_length_c 5.377
_cell_angle_alpha 90.00
_cell_angle_beta 90.00
_cell_angle_gamma 90.00
_space_group_name_H-M_alt 'P 4/m m m'
_space_group_IT_number 123
_space_group_name_Hall '-P 4 2'
loop_
_atom_site_label
_atom_site_fract_x
_atom_site_fract_y
_atom_site_fract_z
Li1 0.000 0.000 0.000
As1 0.000 0.500 0.500
Au1 0.500 0.500 0.500
Se1 0.500 0.500 0.000
```

Calculated values
The total magnetization comes out at 0.97 μB per cell. The uncorrected formation energy is 0.45 eV per atom.

=====

A plane-wave DFT calculation with PBE-GGA was carried out for LiZrH2 after structural relaxation.

The structure in CIF format:
```
data_LiZrH2
_cell_length_a 3.1241
_cell_length_b 3.1241
_cell_length_c 16.4371
_cell_angle_alpha 90.00
_cell_angle_beta 90.00
_cell_angle_gamma 120.00
_space_group_name_H-M_alt 'R 3 m'
_space_group_IT_number 160
_space_group_name_Hall 'R 3 -2"'
loop_
_atom_site_label
_atom_site_fract_x
_atom_site_fract_y
_atom_site_fract_z
Li1 0.0000 0.0000 0.0000
Zr1 0.0000 0.0000 0.1787
H1 0.0000 0.0000 0.5835
H2 0.0000 0.0000 0.7754
```

Calculated values
The total magnetization comes out at 1.88 μB per cell. The calculated total energy comes out at -4.52 eV/atom.